# 1
# Li2Mn3P4O14, optimized geometry, DFT GGA-PBEsol
# Magnetic moment   15.000 μB per formula unit
# N(E_F)   0.0 states/eV/cell
# ΔE_f (raw)   -2062 meV per atom
# Polymorph energy (0 for the lowest one)   0.00 kJ per mole of atoms
# Density   3.3 g/cm3
data_Li2Mn3P4O14
_space_group_name_H-M_alt 'P 1 21/c 1'
_space_group_IT_number 14
_space_group_name_Hall '-P 2ybc'
_cell_length_a 7.363
_cell_length_b 7.878
_cell_length_c 9.710
_cell_angle_alpha 90.00
_cell_angle_beta 109.92
_cell_angle_gamma 90.00
loop_
_atom_site_label
_atom_site_fract_x
_atom_site_fract_y
_atom_site_fract_z
Li1 0.211 0.082 0.147
Mn1 0.302 0.123 0.478
Mn2 0.500 0.000 0.000
P1 0.099 0.051 0.720
P2 0.383 0.706 0.195
O1 0.109 0.506 0.796
O2 0.121 0.172 0.604
O3 0.180 0.632 0.192
O4 0.221 0.111 0.876
O5 0.344 0.622 0.623
O6 0.466 0.583 0.109
O7 0.488 0.206 0.142



# 2
# LiMn2P2O8, optimized geometry, DFT GGA-PBEsol
# Magnetic moment   0.671 μB per formula unit
# N(E_F)   8.1 states/eV/cell
# ΔE_f (raw)   -1962 meV per atom
# Polymorph energy (0 for the lowest one)   4.69 kJ per mole of atoms
# Density   3.0 g/cm3
data_LiMn2P2O8
_space_group_name_H-M_alt 'C 1 2 1'
_space_group_IT_number 5
_space_group_name_Hall 'C 2y'
_cell_length_a 7.125
_cell_length_b 6.678
_cell_length_c 7.138
_cell_angle_alpha 90.00
_cell_angle_beta 92.14
_cell_angle_gamma 90.00
loop_
_atom_site_label
_atom_site_fract_x
_atom_site_fract_y
_atom_site_fract_z
Li1 0.000 0.000 0.000
Mn1 0.000 0.525 0.000
Mn2 0.000 0.951 0.500
P1 0.238 0.245 0.751
O1 0.069 0.384 0.783
O2 0.072 0.860 0.240
O3 0.213 0.136 0.564
O4 0.249 0.095 0.922



# 3
# Li6Mn3P8O29, optimized geometry, DFT GGA-PBEsol
# Magnetic moment   8.983 μB per formula unit
# ΔE_f (raw)   -2144 meV per atom
# Density   2.8 g/cm3
data_Li6Mn3P8O29
_space_group_name_H-M_alt 'P 1'
_space_group_IT_number 1
_space_group_name_Hall 'P 1'
_cell_length_a 9.568
_cell_length_b 9.575
_cell_length_c 13.769
_cell_angle_alpha 89.56
_cell_angle_beta 89.60
_cell_angle_gamma 60.07
loop_
_atom_site_label
_atom_site_fract_x
_atom_site_fract_y
_atom_site_fract_z
Li1 0.000 0.000 0.000
Li2 0.001 0.562 0.056
Li3 0.345 0.893 0.674
Li4 0.362 0.751 0.177
Li5 0.428 0.008 0.056
Li6 0.442 0.566 0.555
Li7 0.569 0.000 0.553
Li8 0.759 0.893 0.175
Li9 0.770 0.332 0.679
Li10 0.900 0.346 0.175
Li11 0.902 0.763 0.673
Li12 0.992 0.438 0.552
Mn1 0.098 0.236 0.365
Mn2 0.100 0.663 0.866
Mn3 0.238 0.667 0.364
Mn4 0.240 0.093 0.861
Mn5 0.669 0.100 0.361
Mn6 0.669 0.235 0.868
P1 0.001 0.997 0.745
P2 0.004 0.000 0.243
P3 0.335 0.332 0.482
P4 0.337 0.325 0.982
P5 0.344 0.901 0.455
P6 0.345 0.755 0.959
P7 0.432 0.994 0.273
P8 0.436 0.575 0.776
P9 0.582 0.989 0.772
P10 0.584 0.439 0.277
P11 0.757 0.339 0.460
P12 0.757 0.895 0.956
P13 0.900 0.759 0.454
P14 0.902 0.339 0.955
P15 0.992 0.431 0.772
P16 0.993 0.578 0.273
O1 0.004 0.002 0.134
O2 0.004 0.412 0.274
O3 0.005 0.585 0.774
O4 0.050 0.169 0.937
O5 0.050 0.775 0.435
O6 0.156 0.279 0.789
O7 0.158 0.562 0.292
O8 0.163 0.851 0.280
O9 0.163 0.984 0.781
O10 0.173 0.345 0.445
O11 0.174 0.779 0.938
O12 0.178 0.050 0.437
O13 0.178 0.481 0.949
O14 0.283 0.159 0.292
O15 0.285 0.561 0.794
O16 0.332 0.746 0.456
O17 0.332 0.923 0.955
O18 0.334 0.304 0.089
O19 0.340 0.322 0.591
O20 0.342 0.485 0.447
O21 0.347 0.169 0.936
O22 0.413 0.588 0.276
O23 0.415 0.998 0.771
O24 0.416 0.670 0.051
O25 0.420 0.917 0.181
O26 0.423 0.913 0.546
O27 0.427 0.663 0.684
O28 0.457 0.665 0.867
O29 0.457 0.879 0.364
O30 0.482 0.175 0.440
O31 0.484 0.337 0.943
O32 0.570 0.151 0.792
O33 0.573 0.284 0.287
O34 0.587 0.006 0.271
O35 0.592 0.409 0.777
O36 0.654 0.464 0.378
O37 0.663 0.910 0.046
O38 0.671 0.874 0.863
O39 0.671 0.910 0.680
O40 0.673 0.406 0.555
O41 0.681 0.442 0.194
O42 0.744 0.924 0.453
O43 0.751 0.322 0.957
O44 0.776 0.174 0.436
O45 0.783 0.041 0.940
O46 0.855 0.988 0.280
O47 0.856 0.157 0.787
O48 0.878 0.668 0.363
O49 0.879 0.451 0.864
O50 0.911 0.424 0.681
O51 0.913 0.667 0.546
O52 0.917 0.666 0.181
O53 0.922 0.414 0.045
O54 0.923 0.330 0.456
O55 0.924 0.741 0.958
O56 0.990 0.849 0.785
O57 0.993 0.159 0.281
O58 0.996 0.999 0.636



# 4
# Li4MnP2O9, optimized geometry, DFT GGA-PBEsol
# Magnetic moment   3.000 μB per formula unit
# ΔE_f (raw)   -2233 meV per atom
# Density   3.0 g/cm3
data_Li4MnP2O9
_space_group_name_H-M_alt 'C 1 2/m 1'
_space_group_IT_number 12
_space_group_name_Hall '-C 2y'
_cell_length_a 13.991
_cell_length_b 6.702
_cell_length_c 6.884
_cell_angle_alpha 90.00
_cell_angle_beta 91.04
_cell_angle_gamma 90.00
loop_
_atom_site_label
_atom_site_fract_x
_atom_site_fract_y
_atom_site_fract_z
Li1 0.000 0.240 0.000
Li2 0.107 0.000 0.226
Li3 0.134 0.500 0.713
Li4 0.250 0.250 0.500
Mn1 0.250 0.250 0.000
P1 0.103 0.500 0.242
P2 0.125 0.000 0.706
O1 0.005 0.500 0.763
O2 0.032 0.000 0.818
O3 0.125 0.000 0.487
O4 0.131 0.309 0.120
O5 0.157 0.500 0.436
O6 0.184 0.193 0.763
O7 0.237 0.000 0.100



Q: Which of these has the highest ΔE_f (raw)?
A: LiMn2P2O8



Q: What is the formula in the fourth record?
A: Li4MnP2O9



Q: The highest density belongs to which entry?
A: Li2Mn3P4O14



Q: Look up the magnetic moment of the first one.
A: 15.000 μB per formula unit